Entry 1:
Compound: KCa2Tl2
Source: the Alexandria database
Functional: PBE
Structure: relaxed

Values from the calculation:
**Spin magnetization**: 0.0 μB per formula unit
**ΔE to the lowest computed polymorph**: 0.03 eV per formula unit
**Energy of formation from the pure elements**: -1.17 eV/f.u.
**Crystal system**: tetragonal

Lattice parameters (Å, degrees): 9.534 9.534 3.718 90.00 90.00 90.00
Sites, in units of the cell vectors:
K  0.000  0.000  0.000
K  0.500  0.500  0.000
Ca  0.136  0.364  0.000
Ca  0.364  0.864  0.000
Ca  0.636  0.136  0.000
Ca  0.864  0.636  0.000
Tl  0.160  0.660  0.500
Tl  0.340  0.160  0.500
Tl  0.660  0.840  0.500
Tl  0.840  0.340  0.500

Entry 2:
Compound: LiPrPdAu
Source: the Alexandria database
Functional: PBE
Structure: relaxed

Values from the calculation:
**Spin magnetization**: 0.0 μB per formula unit
**ΔE to the lowest computed polymorph**: 0.00 eV per formula unit
**Energy of formation from the pure elements**: -2.68 eV/f.u.
**Crystal system**: trigonal

Lattice parameters (Å, degrees): 5.549 5.549 5.549 47.49 47.49 47.49
Sites, in units of the cell vectors:
Li  0.000  0.000  0.000
Pr  0.504  0.504  0.504
Pd  0.288  0.288  0.288
Au  0.716  0.716  0.716

Entry 3:
Compound: LaTl2Au
Source: the Alexandria database
Functional: PBE
Structure: relaxed

Values from the calculation:
**Spin magnetization**: 0.0 μB per formula unit
**ΔE to the lowest computed polymorph**: 0.39 eV per formula unit
**Energy of formation from the pure elements**: -1.54 eV/f.u.
**Crystal system**: orthorhombic

Lattice parameters (Å, degrees): 4.656 4.668 4.972 90.00 90.00 90.00
Sites, in units of the cell vectors:
La  0.000  0.000  0.000
Tl  0.000  0.500  0.500
Tl  0.500  0.000  0.500
Au  0.500  0.500  0.000